No. 1
First-principles (PBE) data for a relaxed structure of Sm3Y6Ho, as listed in Alexandria.

Geometry as CIF:
```
data_Sm3Y6Ho
_space_group_name_H-M_alt 'C m c 21'
_space_group_IT_number 36
_cell_length_a 10.957
_cell_length_b 18.902
_cell_length_c 6.382
_cell_angle_alpha 90.00
_cell_angle_beta 90.00
_cell_angle_gamma 90.00
loop_
_space_group_symop_operation_xyz
'x,y,z'
'-x,-y,z+1/2'
'-x,y,z'
'x,-y,z+1/2'
'x+1/2,y+1/2,z'
'-x+1/2,-y+1/2,z+1/2'
'-x+1/2,y+1/2,z'
'x+1/2,-y+1/2,z+1/2'
loop_
_atom_site_label
_atom_site_type_symbol
_atom_site_fract_x
_atom_site_fract_y
_atom_site_fract_z
_atom_site_occupancy
Sm1 Sm 0.000 0.113 0.000 1
Sm2 Sm 0.175 0.387 0.389 1
Y1 Y 0.000 0.229 0.587 1
Y2 Y 0.000 0.458 0.805 1
Y3 Y 0.166 0.045 0.479 1
Y4 Y 0.239 0.208 0.298 1
Ho1 Ho 0.000 0.303 0.069 1
```

Its calculated density is 5.78 Mg/m³. The magnetic moment is 0.000 μB/f.u.

***

No. 2
First-principles (PBE) data for a relaxed structure of Sm3YHo8, as listed in Alexandria.

Geometry as CIF:
```
data_Sm3YHo8
_space_group_name_H-M_alt 'C 1 m 1'
_space_group_IT_number 8
_cell_length_a 12.572
_cell_length_b 11.308
_cell_length_c 6.285
_cell_angle_alpha 90.00
_cell_angle_beta 119.95
_cell_angle_gamma 90.00
loop_
_space_group_symop_operation_xyz
'x,y,z'
'x,-y,z'
'x+1/2,y+1/2,z'
'x+1/2,-y+1/2,z'
loop_
_atom_site_label
_atom_site_type_symbol
_atom_site_fract_x
_atom_site_fract_y
_atom_site_fract_z
_atom_site_occupancy
Sm1 Sm 0.000 0.000 0.000 1
Sm2 Sm 0.332 0.248 0.665 1
Y1 Y 0.164 0.500 0.665 1
Ho1 Ho 0.165 0.000 0.666 1
Ho2 Ho 0.166 0.251 0.000 1
Ho3 Ho 0.332 0.500 0.331 1
Ho4 Ho 0.333 0.000 0.330 1
Ho5 Ho 0.498 0.250 0.332 1
Ho6 Ho 0.499 0.000 0.000 1
```

Its calculated density is 7.98 Mg/m³. The magnetic moment is 0.000 μB/f.u.

***

No. 3
First-principles (PBE) data for a relaxed structure of Sm4Y5Ho4, as listed in Alexandria.

Geometry as CIF:
```
data_Sm4Y5Ho4
_space_group_name_H-M_alt 'I 4/m'
_space_group_IT_number 87
_space_group_name_Hall '-I 4'
_cell_length_a 12.892
_cell_length_b 12.892
_cell_length_c 5.049
_cell_angle_alpha 90.00
_cell_angle_beta 90.00
_cell_angle_gamma 90.00
loop_
_atom_site_label
_atom_site_type_symbol
_atom_site_fract_x
_atom_site_fract_y
_atom_site_fract_z
_atom_site_occupancy
Sm1 Sm 0.077 0.617 0.000 1
Y1 Y 0.000 0.000 0.000 1
Y2 Y 0.039 0.808 0.500 1
Ho1 Ho 0.154 0.231 0.000 1
```

Its calculated density is 6.75 Mg/m³. The magnetic moment is 0.000 μB/f.u.

***

No. 4
First-principles (PBE) data for a relaxed structure of Sm5Y3Ho4, as listed in Alexandria.

Geometry as CIF:
```
data_Sm5Y3Ho4
_space_group_name_H-M_alt 'C 1 2/m 1'
_space_group_IT_number 12
_cell_length_a 18.261
_cell_length_b 5.700
_cell_length_c 8.720
_cell_angle_alpha 90.00
_cell_angle_beta 118.19
_cell_angle_gamma 90.00
loop_
_space_group_symop_operation_xyz
'x,y,z'
'-x,-y,-z'
'-x,y,-z'
'x,-y,z'
'x+1/2,y+1/2,z'
'-x+1/2,-y+1/2,-z'
'-x+1/2,y+1/2,-z'
'x+1/2,-y+1/2,z'
loop_
_atom_site_label
_atom_site_type_symbol
_atom_site_fract_x
_atom_site_fract_y
_atom_site_fract_z
_atom_site_occupancy
Sm1 Sm 0.000 0.000 0.000 1
Sm2 Sm 0.110 0.500 0.430 1
Sm3 Sm 0.160 0.500 0.891 1
Y1 Y 0.000 0.500 0.000 1
Y2 Y 0.183 0.000 0.217 1
Ho1 Ho 0.031 0.000 0.697 1
Ho2 Ho 0.202 0.000 0.649 1
```

Its calculated density is 6.97 Mg/m³. The magnetic moment is 0.037 μB/f.u.

***

No. 5
First-principles (PBE) data for a relaxed structure of Sm8Y5Ho, as listed in Alexandria.

Geometry as CIF:
```
data_Sm8Y5Ho
_space_group_name_H-M_alt 'I -4'
_space_group_IT_number 82
_cell_length_a 9.680
_cell_length_b 9.680
_cell_length_c 10.237
_cell_angle_alpha 90.00
_cell_angle_beta 90.00
_cell_angle_gamma 90.00
loop_
_space_group_symop_operation_xyz
'x,y,z'
'y,-x,-z'
'-x,-y,z'
'-y,x,-z'
'x+1/2,y+1/2,z+1/2'
'y+1/2,-x+1/2,-z+1/2'
'-x+1/2,-y+1/2,z+1/2'
'-y+1/2,x+1/2,-z+1/2'
loop_
_atom_site_label
_atom_site_type_symbol
_atom_site_fract_x
_atom_site_fract_y
_atom_site_fract_z
_atom_site_occupancy
Sm1 Sm 0.068 0.172 0.155 1
Sm2 Sm 0.091 0.323 0.497 1
Y1 Y 0.000 0.500 0.250 1
Y2 Y 0.110 0.294 0.825 1
Ho1 Ho 0.000 0.000 0.500 1
```

Its calculated density is 6.27 Mg/m³. The magnetic moment is 0.000 μB/f.u.

***

No. 6
First-principles (PBE) data for a relaxed structure of Sm6Y2Ho3, as listed in Alexandria.

Geometry as CIF:
```
data_Sm6Y2Ho3
_space_group_name_H-M_alt 'I 4/m m m'
_space_group_IT_number 139
_space_group_name_Hall '-I 4 2'
_cell_length_a 4.751
_cell_length_b 4.751
_cell_length_c 33.688
_cell_angle_alpha 90.00
_cell_angle_beta 90.00
_cell_angle_gamma 90.00
loop_
_atom_site_label
_atom_site_type_symbol
_atom_site_fract_x
_atom_site_fract_y
_atom_site_fract_z
_atom_site_occupancy
Sm1 Sm 0.000 0.000 0.200 1
Sm2 Sm 0.000 0.500 0.122 1
Y1 Y 0.000 0.000 0.046 1
Ho1 Ho 0.000 0.000 0.302 1
Ho2 Ho 0.000 0.000 0.500 1
```

Its calculated density is 6.88 Mg/m³. The magnetic moment is 0.000 μB/f.u.

***

no.,ΔE_f (meV/atom)
1,144
2,12
3,19
4,267
5,261
6,295